(P)
Here is a geometry-optimized ReBiO5 structure from the Alexandria database. Energies are from PBE.

```
ReBiO5
1.0
4.470 0.345 0.000
-1.398 8.781 0.000
0.000 0.000 13.541
O Bi Re
20 4 4
Direct
0.190 0.216 0.392
0.238 0.922 0.978
0.271 0.456 0.136
0.262 0.578 0.478
0.690 0.716 0.108
0.226 0.720 0.253
0.810 0.784 0.608
0.771 0.956 0.364
0.196 0.037 0.210
0.729 0.544 0.864
0.804 0.963 0.790
0.762 0.078 0.022
0.310 0.284 0.892
0.274 0.780 0.753
0.229 0.044 0.636
0.304 0.463 0.710
0.696 0.537 0.290
0.774 0.280 0.747
0.738 0.422 0.522
0.726 0.220 0.247
0.227 0.360 0.545
0.773 0.640 0.455
0.727 0.860 0.955
0.273 0.140 0.045
0.029 0.893 0.695
0.971 0.107 0.305
0.471 0.607 0.195
0.529 0.393 0.805
```

Calculated values
total magnetization = 0.00 μB per atom
symmetry = P2_1/c (14)

(Q)
Here is a geometry-optimized ReBiO5 structure from the Alexandria database. Energies are from PBE.

```
ReBiO5
1.0
-4.859 2.021 3.915
-1.058 -2.219 -6.081
2.757 -7.572 2.334
O Re Bi
10 2 2
Direct
0.418 0.812 0.059
0.247 0.141 0.559
0.821 0.437 0.678
0.536 0.539 0.817
0.278 0.781 0.317
0.449 0.947 0.729
0.782 0.780 0.229
0.672 0.730 0.483
0.752 0.310 0.983
0.241 0.357 0.178
0.578 0.305 0.758
0.454 0.680 0.258
0.734 0.938 0.976
0.038 0.742 0.476
```

Calculated values
total magnetization = 0.00 μB per atom
symmetry = Cc (9)

Least stable: (Q)

(P)
Here is a geometry-optimized BiRh2O6 structure from the Alexandria database. Energies are from PBE.

```
BiRh2O6
1.0
-2.967 -0.092 3.663
5.666 -5.949 4.440
1.095 9.206 1.119
O Bi Rh
18 3 6
Direct
0.231 0.543 0.457
0.217 0.213 0.787
0.783 0.122 0.243
0.217 0.878 0.757
0.217 0.575 0.787
0.217 0.213 0.425
0.217 0.243 0.122
0.783 0.122 0.878
0.231 0.543 0.087
0.769 0.457 0.913
0.217 0.878 0.122
0.769 0.087 0.543
0.783 0.425 0.213
0.783 0.787 0.213
0.783 0.787 0.575
0.783 0.757 0.878
0.231 0.913 0.457
0.769 0.457 0.543
0.504 0.667 0.333
0.496 0.333 0.667
0.000 0.000 0.000
0.000 0.661 0.661
0.000 0.339 0.339
0.000 0.661 0.000
0.000 0.000 0.339
0.000 0.339 0.000
0.000 0.000 0.661
```

Calculated values
total magnetization = 0.13 μB per atom
symmetry = P-3m1 (164)

(Q)
Here is a geometry-optimized BiRh2O6 structure from the Alexandria database. Energies are from PBE.

```
BiRh2O6
1.0
-4.431 1.196 1.766
-2.169 -0.492 -5.109
0.162 -4.415 3.395
O Bi Rh
6 1 2
Direct
0.301 0.000 0.360
0.699 0.360 0.360
0.699 0.000 0.640
0.301 0.640 0.640
0.699 0.640 0.000
0.301 0.360 0.000
0.500 0.000 0.000
0.500 0.667 0.333
0.500 0.333 0.667
```

Calculated values
total magnetization = 0.12 μB per atom
symmetry = P-31m (162)

Least stable: (Q)

(P)
Here is a geometry-optimized Bi3RhO structure from the Alexandria database. Energies are from PBE.

```
Bi3RhO
1.0
5.271 0.000 0.000
0.000 5.271 0.000
0.000 0.000 5.271
Rh Bi O
1 3 1
Direct
0.000 0.000 0.000
0.500 0.000 0.000
0.000 0.000 0.500
0.000 0.500 0.000
0.500 0.500 0.500
```

Calculated values
total magnetization = 0.35 μB per atom
symmetry = Pm-3m (221)

(Q)
Here is a geometry-optimized Bi3RhO structure from the Alexandria database. Energies are from PBE.

```
Bi3RhO
1.0
-0.808 -2.531 4.028
-0.884 -3.935 -2.649
4.674 -1.182 0.195
Bi Rh O
3 1 1
Direct
0.000 0.000 0.500
0.500 0.000 0.000
0.000 0.500 0.000
0.500 0.500 0.500
0.000 0.000 0.000
```

Calculated values
total magnetization = 0.00 μB per atom
symmetry = Pm-3m (221)

Least stable: (P)

(P)
Here is a geometry-optimized BiRh3O structure from the Alexandria database. Energies are from PBE.

```
BiRh3O
1.0
5.042 0.000 0.000
0.000 5.042 0.000
0.000 0.000 5.042
Rh O Bi
3 1 1
Direct
0.000 0.500 0.000
0.500 0.000 0.000
0.000 0.000 0.500
0.500 0.500 0.500
0.000 0.000 0.000
```

Calculated values
total magnetization = 0.64 μB per atom
symmetry = Pm-3m (221)

(Q)
Here is a geometry-optimized BiRh3O structure from the Alexandria database. Energies are from PBE.

```
BiRh3O
1.0
-0.471 2.631 3.347
2.803 -2.343 2.236
3.204 2.436 -1.464
Bi O Rh
1 1 3
Direct
0.500 0.500 0.500
0.000 0.000 0.000
0.000 0.500 0.000
0.000 0.000 0.500
0.500 0.000 0.000
```

Calculated values
total magnetization = 0.33 μB per atom
symmetry = Pm-3m (221)

Least stable: (P)

(P)
Here is a geometry-optimized Bi2RuO6 structure from the Alexandria database. Energies are from PBE.

```
Bi2RuO6
1.0
5.052 0.000 0.000
0.000 5.052 0.000
0.000 0.000 10.180
Bi O Ru
4 12 2
Direct
0.500 0.500 0.832
0.500 0.500 0.168
0.000 0.000 0.332
0.000 0.000 0.668
0.728 0.728 0.000
0.182 0.818 0.853
0.682 0.682 0.647
0.682 0.682 0.353
0.182 0.818 0.147
0.228 0.772 0.500
0.818 0.182 0.853
0.318 0.318 0.353
0.272 0.272 0.000
0.318 0.318 0.647
0.818 0.182 0.147
0.772 0.228 0.500
0.500 0.500 0.500
0.000 0.000 0.000
```

Calculated values
total magnetization = 0.14 μB per atom
symmetry = P4_2/mnm (136)

(Q)
Here is a geometry-optimized Bi2RuO6 structure from the Alexandria database. Energies are from PBE.

```
Bi2RuO6
1.0
-3.929 1.531 0.035
-0.132 -0.244 -4.208
-0.881 -8.127 2.613
O Ru Bi
6 1 2
Direct
0.805 0.333 0.138
0.250 0.750 0.500
0.195 0.195 0.862
0.750 0.250 0.500
0.333 0.805 0.138
0.667 0.667 0.862
0.500 0.500 0.000
0.821 0.821 0.642
0.179 0.179 0.358
```

Calculated values
total magnetization = 0.22 μB per atom
symmetry = I-42m (121)

Least stable: (Q)

(P)
Here is a geometry-optimized Bi3RuO structure from the Alexandria database. Energies are from PBE.

```
Bi3RuO
1.0
5.229 0.000 0.000
0.000 5.229 0.000
0.000 0.000 5.229
Ru Bi O
1 3 1
Direct
0.000 0.000 0.000
0.500 0.000 0.000
0.000 0.500 0.000
0.000 0.000 0.500
0.500 0.500 0.500
```

Calculated values
total magnetization = 0.00 μB per atom
symmetry = Pm-3m (221)

(Q)
Here is a geometry-optimized Bi3RuO structure from the Alexandria database. Energies are from PBE.

```
Bi3RuO
1.0
4.811 0.000 0.000
0.000 4.811 0.000
0.000 0.000 4.811
Ru Bi O
1 3 1
Direct
0.500 0.500 0.500
0.500 0.000 0.000
0.000 0.500 0.000
0.000 0.000 0.500
0.000 0.000 0.000
```

Calculated values
total magnetization = 0.00 μB per atom
symmetry = Pm-3m (221)

Least stable: (P)

(P)
Here is a geometry-optimized BiS3O structure from the Alexandria database. Energies are from PBE.

```
BiS3O
1.0
-0.939 0.058 -5.180
1.979 -4.861 -0.413
-4.787 -2.021 0.845
O S Bi
1 3 1
Direct
0.500 0.500 0.500
0.000 0.500 0.000
0.500 0.000 0.000
0.000 0.000 0.500
0.000 0.000 0.000
```

Calculated values
total magnetization = 0.46 μB per atom
symmetry = Pm-3m (221)

(Q)
Here is a geometry-optimized BiS3O structure from the Alexandria database. Energies are from PBE.

```
BiS3O
1.0
-3.035 0.303 -3.172
1.406 -3.804 -1.708
-2.860 -2.191 2.527
S Bi O
3 1 1
Direct
0.000 0.000 0.500
0.000 0.500 0.000
0.500 0.000 0.000
0.500 0.500 0.500
0.000 0.000 0.000
```

Calculated values
total magnetization = 0.00 μB per atom
symmetry = Pm-3m (221)

Least stable: (P)

(P)
Here is a geometry-optimized BiSO structure from the Alexandria database. Energies are from PBE.

```
BiSO
1.0
-0.313 -0.120 3.494
1.392 -3.222 0.014
3.609 3.466 -1.320
Bi O S
1 1 1
Direct
0.700 0.700 0.399
0.277 0.277 0.553
0.024 0.024 0.047
```

Calculated values
total magnetization = 0.32 μB per atom
symmetry = I4mm (107)

(Q)
Here is a geometry-optimized BiSO structure from the Alexandria database. Energies are from PBE.

```
BiSO
1.0
3.913 -0.225 -0.538
0.151 3.917 -0.539
-0.949 -0.859 7.800
O S Bi
2 2 2
Direct
0.814 0.366 0.920
0.314 0.867 0.920
0.492 0.545 0.280
0.635 0.688 0.560
0.898 0.951 0.093
0.229 0.282 0.746
```

Calculated values
total magnetization = 0.00 μB per atom
symmetry = C2/m (12)

Least stable: (P)